Compound: MgTeWO6
Source: Alexandria
Functional: PBE+U
Structure: relaxed

The space group is P-31c (No. 163) and the conventional cell measures 5.3896, 5.3896 and 9.0150 Å, with angles of 90.00, 90.00 and 120.00 degrees. The distinct sites, in fractional coordinates, are Mg at (0.0000, 0.0000, 0.0000), Te at (0.3333, 0.6667, 0.2500), W at (0.3333, 0.6667, 0.7500) and O at (0.0292, 0.3591, 0.6313).

The value obtained for the density of states at the Fermi level is 0.0 states/eV/cell. As for the calculated total energy: -6.3641 eV/atom.